# 1
Below is a geometry-optimized Cu2RePt structure, with properties calculated at the PBEsol level.

Geometry as CIF:
```
data_Cu2RePt
_symmetry_space_group_name_H-M 'P 1 2/m 1'
_symmetry_Int_Tables_number 10
_cell_length_a 2.6004
_cell_length_b 4.3121
_cell_length_c 4.7973
_cell_angle_alpha 90.00
_cell_angle_beta 91.78
_cell_angle_gamma 90.00
loop_
_symmetry_equiv_pos_as_xyz
'x,y,z'
'-x,-y,-z'
'-x,y,-z'
'x,-y,z'
loop_
_atom_site_label
_atom_site_fract_x
_atom_site_fract_y
_atom_site_fract_z
Cu1 0.1557 0.0000 0.2356
Re1 0.5000 0.5000 0.0000
Pt1 0.0000 0.5000 0.5000
```

Summary:
crystal system	monoclinic
N(E_F)	2.55	states/eV per cell
energy	-28.24	eV per formula unit
DFT formation energy	181.3	meV per atom
energy above the lowest structure with this stoichiometry	3.60	kcal/mol of atoms
total moment	0.001	μB per formula unit

=====

# 2
Below is a geometry-optimized TlCuO2 structure, with properties calculated at the PBEsol level.

Geometry as CIF:
```
data_TlCuO2
_symmetry_space_group_name_H-M 'R -3 m'
_symmetry_Int_Tables_number 166
_symmetry_space_group_name_Hall '-R 3 2"'
_cell_length_a 3.4711
_cell_length_b 3.4711
_cell_length_c 17.4872
_cell_angle_alpha 90.00
_cell_angle_beta 90.00
_cell_angle_gamma 120.00
loop_
_atom_site_label
_atom_site_fract_x
_atom_site_fract_y
_atom_site_fract_z
Tl1 0.0000 0.0000 0.0000
Cu1 0.0000 0.0000 0.5000
O1 0.0000 0.0000 0.3972
```

Summary:
crystal system	trigonal
N(E_F)	9.19	states/eV per cell
energy	-19.69	eV per formula unit
energy above the lowest structure with this stoichiometry	0.00	kcal/mol of atoms
total moment	0.000	μB per formula unit
ΔE_f (raw)	-557	meV/atom

=====

# 3
Below is a geometry-optimized InTcIr2 structure, with properties calculated at the PBEsol level.

Geometry as CIF:
```
data_InTcIr2
_symmetry_space_group_name_H-M 'P 4/m m m'
_symmetry_Int_Tables_number 123
_symmetry_space_group_name_Hall '-P 4 2'
_cell_length_a 2.8115
_cell_length_b 2.8115
_cell_length_c 7.7007
_cell_angle_alpha 90.00
_cell_angle_beta 90.00
_cell_angle_gamma 90.00
loop_
_atom_site_label
_atom_site_fract_x
_atom_site_fract_y
_atom_site_fract_z
In1 0.0000 0.0000 0.0000
Tc1 0.0000 0.0000 0.5000
Ir1 0.5000 0.5000 0.2704
```

Summary:
crystal system	tetragonal
N(E_F)	2.50	states/eV per cell
energy	-34.36	eV per formula unit
DFT formation energy	-116.5	meV per atom
total moment	0.000	μB per formula unit